Density functional theory data (PBE-GGA) for a relaxed K2Sr2Mg crystal.

**Raw total energy**: -12.1 eV for the cell shown
**Energy above the lowest structure with this stoichiometry**: 0 meV per atom
**Volume**: 59.3 Å³/atom
**E_form**: 0.22 eV/atom
**Fermi-level density of states**: 1.09 states/eV per atom

Lattice parameters (Å, degrees): 9.182 9.182 7.033 90.00 90.00 90.00
Element x y z (fractional)
K1 0.168 0.332 0.000
K2 0.332 0.832 0.000
K3 0.668 0.168 0.000
K4 0.832 0.668 0.000
Sr1 0.158 0.658 0.500
Sr2 0.342 0.158 0.500
Sr3 0.658 0.842 0.500
Sr4 0.842 0.342 0.500
Mg1 0.000 0.000 0.500
Mg2 0.500 0.500 0.500